{
  "formula": "PaMnBeO5",
  "functional": "GGA+U",
  "state": "relaxed",
  "crystal_system": "monoclinic",
  "m_tot_mub_per_cell": 4.00,
  "e_tot_ev_per_fu": -65.7,
  "lattice": [[3.129, -4.299, 0.000], [3.129, 4.299, 0.000], [-2.457, 0.000, 6.243]],
  "species": ["Pa", "Pa", "Mn", "Mn", "Be", "Be", "O", "O", "O", "O", "O", "O", "O", "O", "O", "O"],
  "frac_coords": [[0.151, 0.849, 0.750], [0.849, 0.151, 0.250], [0.500, 0.500, 0.000], [0.500, 0.500, 0.500], [0.186, 0.814, 0.250], [0.814, 0.186, 0.750], [0.105, 0.228, 0.933], [0.168, 0.582, 0.373], [0.228, 0.105, 0.433], [0.403, 0.597, 0.750], [0.418, 0.832, 0.127], [0.582, 0.168, 0.873], [0.597, 0.403, 0.250], [0.772, 0.895, 0.567], [0.832, 0.418, 0.627], [0.895, 0.772, 0.067]]
}